Material: SrMn2Rh2
Method: DFT, GGA-PBE
State: optimized geometry

a b c (Å): 4.3205 4.3205 9.3817
angles (deg): 90.00 90.00 90.00
Last column: nearest neighbours and their distance in Å.
Space group I4/mmm (No. 139)
One atom of each set of equivalent atoms:
Sr1 0.0000 0.0000 0.0000 x2  8 Rh 3.19, 8 Mn 3.23
Mn1 0.0000 0.0000 0.3879 x4  1 Mn 2.10
Rh1 0.0000 0.5000 0.2500 x4  4 Mn 2.52

Results
Energy of formation = 0.13 eV/atom
D(E_F) = 7.92 states/eV/cell
Energy relative to the lowest polymorph listed for this composition = 0.91 eV/f.u.

Material: SrMn2Rh
Method: DFT, GGA-PBE
State: optimized geometry

a b c (Å): 5.7260 9.9486 3.0232
angles (deg): 90.00 117.33 90.00
Last column: nearest neighbours and their distance in Å.
Space group C2/m (No. 12)
One atom of each set of equivalent atoms:
Sr1 0.0000 0.0000 0.0000 x2  4 Rh 2.86-3.06, 4 Mn 2.92, 2 Sr 3.02
Mn1 0.2500 0.2500 0.5000 x4  6 Mn 2.86-3.06, 2 Rh 2.92, 2 Sr 2.92
Rh1 0.0000 0.5000 0.0000 x2  4 Sr 2.86-3.06, 4 Mn 2.92, 2 Rh 3.02

Results
Energy of formation = 0.59 eV/atom
D(E_F) = 7.60 states/eV/cell

Material: SrMn2Rh2
Method: DFT, GGA-PBE
State: optimized geometry

a b c (Å): 7.5868 7.5868 2.7422
angles (deg): 90.00 90.00 90.00
Last column: nearest neighbours and their distance in Å.
Space group P4/mbm (No. 127)
One atom of each set of equivalent atoms:
Sr1 0.0000 0.0000 0.0000 x2  2 Sr 2.74
Mn1 0.1055 0.3945 0.0000 x4  1 Mn 2.26
Rh1 0.1742 0.6742 0.5000 x4  6 Mn 2.58-2.73, 2 Rh 2.74

Results
Energy of formation = 0.27 eV/atom
D(E_F) = 14.59 states/eV/cell
Energy relative to the lowest polymorph listed for this composition = 1.58 eV/f.u.

Material: Sr2MnRh
Method: DFT, GGA-PBE
State: optimized geometry

a b c (Å): 11.0729 11.0729 4.8911
angles (deg): 90.00 90.00 90.00
Last column: nearest neighbours and their distance in Å.
Space group I-42d (No. 122)
One atom of each set of equivalent atoms:
Sr1 0.0803 0.2500 0.1250 x8  2 Rh 2.97
Mn1 0.0000 0.0000 0.5000 x4  2 Rh 2.45
Rh1 0.0000 0.0000 0.0000 x4  2 Mn 2.45

Results
Energy of formation = 0.22 eV/atom
D(E_F) = 7.70 states/eV/cell
Energy relative to the lowest polymorph listed for this composition = 0.82 eV/f.u.

Material: SrMnRh
Method: DFT, GGA-PBE
State: optimized geometry

a b c (Å): 9.1104 5.7924 5.2249
angles (deg): 90.00 123.15 90.00
Last column: nearest neighbours and their distance in Å.
Space group C2/m (No. 12)
One atom of each set of equivalent atoms:
Sr1 0.1232 0.0000 0.3706 x4  6 Rh 3.10-3.19, 6 Mn 3.12-3.32, 2 Sr 3.19-3.25
Mn1 0.0000 0.5000 0.0000 x2  2 Mn 2.61, 4 Rh 2.70
Mn2 0.0000 0.5000 0.5000 x2  2 Mn 2.61, 4 Rh 2.76
Rh1 0.2500 0.2500 0.0000 x4  4 Mn 2.70-2.76, 2 Rh 2.90

Results
Energy of formation = 0.14 eV/atom
D(E_F) = 15.56 states/eV/cell
Energy relative to the lowest polymorph listed for this composition = 0.74 eV/f.u.

Material: SrMnRh
Method: DFT, GGA-PBE
State: optimized geometry

a b c (Å): 4.5393 4.5393 7.2136
angles (deg): 90.00 90.00 90.00
Last column: nearest neighbours and their distance in Å.
Space group P4/nmm (No. 129, origin choice 2)
One atom of each set of equivalent atoms:
Sr1 0.2500 0.2500 0.1910 x2  4 Rh 3.18, 5 Mn 3.37-3.44
Mn1 0.2500 0.2500 0.6680 x2  4 Rh 2.57
Rh1 0.2500 0.7500 0.5000 x2  4 Mn 2.57

Results
Energy of formation = -0.03 eV/atom
D(E_F) = 4.18 states/eV/cell
Energy relative to the lowest polymorph listed for this composition = 0.22 eV/f.u.

Number 1: calculated total energy -6.811 eV per atom. Number 2: calculated total energy -6.257 eV per atom. Number 3: calculated total energy -6.676 eV per atom. Number 4: calculated total energy -4.752 eV per atom. Number 5: calculated total energy -5.923 eV per atom. Number 6: calculated total energy -6.097 eV per atom.